The following is a DFT calculation (SCAN) of SbAs2Cl at its PBEsol-relaxed geometry.

The space group is P2/m (No. 10) and the conventional cell measures 3.6987, 5.2314 and 5.3523 Å, with angles of 90.00, 109.42 and 90.00 degrees. The asymmetric unit holds Sb at (0.0000, 0.0000, 0.0000), As at (0.1767, 0.5000, 0.8326) and Cl at (0.5000, 0.0000, 0.5000).

As for the volume: 24.418 A^3/atom. The calculation puts the magnetization at 0.00 μB per cell. The value obtained for the density of states at the Fermi level is 1.2 states/eV per cell. The value obtained for the formation energy from raw total energies is -0.071 eV per atom.

The following is a DFT calculation (SCAN) of SbAs2Cl at its PBEsol-relaxed geometry.

The space group is R-3m (No. 166, hexagonal axes) and the conventional cell measures 4.0461, 4.0461 and 19.4161 Å, with angles of 90.00, 90.00 and 120.00 degrees. The asymmetric unit holds Sb at (0.0000, 0.0000, 0.0000), As at (0.0000, 0.0000, 0.2545) and Cl at (0.0000, 0.0000, 0.5000).

As for the volume: 22.940 A^3/atom. The calculation puts the magnetization at 0.02 μB per cell. The value obtained for the density of states at the Fermi level is 8.3 states/eV per cell. The value obtained for the formation energy from raw total energies is 0.180 eV per atom.

The following is a DFT calculation (SCAN) of SbAs2Cl at its PBEsol-relaxed geometry.

The space group is P4/mmm (No. 123) and the conventional cell measures 3.5949, 3.5949 and 6.8286 Å, with angles of 90.00, 90.00 and 90.00 degrees. The asymmetric unit holds Sb at (0.0000, 0.0000, 0.0000), As at (0.5000, 0.5000, 0.2035) and Cl at (0.0000, 0.0000, 0.5000).

As for the volume: 22.062 A^3/atom. The calculation puts the magnetization at 0.00 μB per cell. The value obtained for the density of states at the Fermi level is 1.7 states/eV per cell. The value obtained for the formation energy from raw total energies is 0.154 eV per atom.

The following is a DFT calculation (SCAN) of SbAsCl4 at its PBEsol-relaxed geometry.

The space group is F-43m (No. 216) and the conventional cell measures 7.9386, 7.9386 and 7.9386 Å, with angles of 90.00, 90.00 and 90.00 degrees. The asymmetric unit holds Sb at (0.0000, 0.0000, 0.0000), As at (0.2500, 0.2500, 0.2500) and Cl at (0.1246, 0.1246, 0.6246).

As for the volume: 20.846 A^3/atom. The calculation puts the magnetization at 3.62 μB per cell. The value obtained for the density of states at the Fermi level is 20.8 states/eV per cell. The value obtained for the formation energy from raw total energies is 0.763 eV per atom.

The following is a DFT calculation (SCAN) of Sb2TeAsCl at its PBEsol-relaxed geometry.

The space group is P4/mmm (No. 123) and the conventional cell measures 5.2366, 5.2366 and 5.2101 Å, with angles of 90.00, 90.00 and 90.00 degrees. The asymmetric unit holds Sb at (0.0000, 0.5000, 0.0000), Te at (0.0000, 0.0000, 0.5000), As at (0.5000, 0.5000, 0.5000) and Cl at (0.0000, 0.0000, 0.0000).

As for the volume: 28.574 A^3/atom. The calculation puts the magnetization at 0.00 μB per cell. The value obtained for the density of states at the Fermi level is 5.1 states/eV per cell. The value obtained for the formation energy from raw total energies is 1.117 eV per atom.

The following is a DFT calculation (SCAN) of ScAs2Cl at its PBEsol-relaxed geometry.

The space group is Cm (No. 8) and the conventional cell measures 9.5734, 3.4396 and 7.3312 Å, with angles of 90.00, 125.58 and 90.00 degrees. The asymmetric unit holds Sc at (0.0000, 0.0000, 0.0000), As at (0.2537, 0.5000, 0.0494), As at (0.4583, 0.0000, 0.3026) and Cl at (0.3311, 0.0000, 0.6985).

As for the volume: 24.541 A^3/atom. The calculation puts the magnetization at 0.00 μB per cell. The value obtained for the formation energy from raw total energies is -1.012 eV per atom.

The following is a DFT calculation (SCAN) of TaAs2SeCl at its PBEsol-relaxed geometry.

The space group is P4/mmm (No. 123) and the conventional cell measures 4.9848, 4.9848 and 4.8314 Å, with angles of 90.00, 90.00 and 90.00 degrees. The asymmetric unit holds Ta at (0.0000, 0.0000, 0.0000), As at (0.0000, 0.5000, 0.0000), Se at (0.0000, 0.0000, 0.5000) and Cl at (0.5000, 0.5000, 0.5000).

As for the volume: 24.011 A^3/atom. The calculation puts the magnetization at 0.00 μB per cell. The value obtained for the density of states at the Fermi level is 2.8 states/eV per cell. The value obtained for the formation energy from raw total energies is 0.096 eV per atom.

The following is a DFT calculation (SCAN) of TcAs2SeCl at its PBEsol-relaxed geometry.

The space group is P4/mmm (No. 123) and the conventional cell measures 4.7801, 4.7801 and 4.7445 Å, with angles of 90.00, 90.00 and 90.00 degrees. The asymmetric unit holds Tc at (0.0000, 0.0000, 0.0000), As at (0.0000, 0.5000, 0.0000), Se at (0.0000, 0.0000, 0.5000) and Cl at (0.5000, 0.5000, 0.5000).

As for the volume: 21.682 A^3/atom. The calculation puts the magnetization at 0.00 μB per cell. The value obtained for the density of states at the Fermi level is 4.6 states/eV per cell. The value obtained for the formation energy from raw total energies is 0.302 eV per atom.

The following is a DFT calculation (SCAN) of TlAs2SeCl at its PBEsol-relaxed geometry.

The space group is P4/mmm (No. 123) and the conventional cell measures 5.3223, 5.3223 and 5.2100 Å, with angles of 90.00, 90.00 and 90.00 degrees. The asymmetric unit holds Tl at (0.0000, 0.0000, 0.0000), As at (0.0000, 0.5000, 0.0000), Se at (0.0000, 0.0000, 0.5000) and Cl at (0.5000, 0.5000, 0.5000).

As for the volume: 29.517 A^3/atom. The calculation puts the magnetization at 0.90 μB per cell. The value obtained for the density of states at the Fermi level is 4.6 states/eV per cell. The value obtained for the formation energy from raw total energies is 1.005 eV per atom.

The following is a DFT calculation (SCAN) of TlAs2SeCl at its PBEsol-relaxed geometry.

The space group is P4/mmm (No. 123) and the conventional cell measures 4.9837, 4.9837 and 4.9476 Å, with angles of 90.00, 90.00 and 90.00 degrees. The asymmetric unit holds Tl at (0.0000, 0.0000, 0.0000), As at (0.0000, 0.5000, 0.5000), Se at (0.5000, 0.5000, 0.0000) and Cl at (0.5000, 0.5000, 0.5000).

As for the volume: 24.577 A^3/atom. The calculation puts the magnetization at 0.00 μB per cell. The value obtained for the density of states at the Fermi level is 6.4 states/eV per cell. The value obtained for the formation energy from raw total energies is 0.841 eV per atom.

The following is a DFT calculation (SCAN) of TlAsSeCl2 at its PBEsol-relaxed geometry.

The space group is P4/mmm (No. 123) and the conventional cell measures 5.0091, 5.0091 and 5.6878 Å, with angles of 90.00, 90.00 and 90.00 degrees. The asymmetric unit holds Tl at (0.0000, 0.0000, 0.0000), As at (0.0000, 0.0000, 0.5000), Se at (0.5000, 0.5000, 0.5000) and Cl at (0.0000, 0.5000, 0.0000).

As for the volume: 28.542 A^3/atom. The calculation puts the magnetization at 0.31 μB per cell. The value obtained for the density of states at the Fermi level is 1.5 states/eV per cell. The value obtained for the formation energy from raw total energies is 0.346 eV per atom.

The following is a DFT calculation (SCAN) of ZrAs2SeCl at its PBEsol-relaxed geometry.

The space group is P4/mmm (No. 123) and the conventional cell measures 5.1769, 5.1769 and 5.0038 Å, with angles of 90.00, 90.00 and 90.00 degrees. The asymmetric unit holds Zr at (0.0000, 0.0000, 0.0000), As at (0.0000, 0.5000, 0.0000), Se at (0.0000, 0.0000, 0.5000) and Cl at (0.5000, 0.5000, 0.5000).

As for the volume: 26.820 A^3/atom. The calculation puts the magnetization at 0.00 μB per cell. The value obtained for the density of states at the Fermi level is 3.2 states/eV per cell. The value obtained for the formation energy from raw total energies is -0.006 eV per atom.

The following is a DFT calculation (SCAN) of SiAsCl2 at its PBEsol-relaxed geometry.

The space group is P4mm (No. 99) and the conventional cell measures 3.6348, 3.6348 and 7.4368 Å, with angles of 90.00, 90.00 and 90.00 degrees. The asymmetric unit holds Si at (0.0000, 0.0000, 0.0000), As at (0.5000, 0.5000, 0.9523), Cl at (0.0000, 0.0000, 0.2796) and Cl at (0.5000, 0.5000, 0.6588).

As for the volume: 24.563 A^3/atom. The calculation puts the magnetization at 0.00 μB per cell. The value obtained for the density of states at the Fermi level is 0.4 states/eV per cell. The value obtained for the formation energy from raw total energies is -0.459 eV per atom.

The following is a DFT calculation (SCAN) of SiAsCl2 at its PBEsol-relaxed geometry.

The space group is Cm (No. 8) and the conventional cell measures 10.1788, 3.7318 and 5.2888 Å, with angles of 90.00, 103.04 and 90.00 degrees. The asymmetric unit holds Si at (0.0000, 0.0000, 0.0000), As at (0.0690, 0.5000, 0.2929), Cl at (0.1775, 0.0000, 0.8519) and Cl at (0.3955, 0.0000, 0.4840).

As for the volume: 24.464 A^3/atom. The calculation puts the magnetization at 0.00 μB per cell. The value obtained for the density of states at the Fermi level is 2.9 states/eV per cell. The value obtained for the formation energy from raw total energies is -0.307 eV per atom.

The following is a DFT calculation (SCAN) of SiAsCl2 at its PBEsol-relaxed geometry.

The space group is Imm2 (No. 44) and the conventional cell measures 3.1565, 4.3109 and 12.4746 Å, with angles of 90.00, 90.00 and 90.00 degrees. The asymmetric unit holds Si at (0.0000, 0.0000, 0.0000), As at (0.0000, 0.5000, 0.6712), Cl at (0.0000, 0.0000, 0.4541) and Cl at (0.0000, 0.5000, 0.2046).

As for the volume: 21.218 A^3/atom. The calculation puts the magnetization at 0.00 μB per cell. The value obtained for the density of states at the Fermi level is 2.7 states/eV per cell. The value obtained for the formation energy from raw total energies is 0.143 eV per atom.

The following is a DFT calculation (SCAN) of Sn3AsCl at its PBEsol-relaxed geometry.

The space group is Pm-3m (No. 221) and the conventional cell measures 5.2669, 5.2669 and 5.2669 Å, with angles of 90.00, 90.00 and 90.00 degrees. The asymmetric unit holds Sn at (0.0000, 0.0000, 0.5000), As at (0.5000, 0.5000, 0.5000) and Cl at (0.0000, 0.0000, 0.0000).

As for the volume: 29.222 A^3/atom. The calculation puts the magnetization at 0.00 μB per cell. The value obtained for the density of states at the Fermi level is 3.3 states/eV per cell. The value obtained for the formation energy from raw total energies is 0.731 eV per atom.

The following is a DFT calculation (SCAN) of SrAs2Cl at its PBEsol-relaxed geometry.

The space group is Pm (No. 6) and the conventional cell measures 4.1121, 3.7793 and 6.6047 Å, with angles of 90.00, 98.83 and 90.00 degrees. The asymmetric unit holds Sr at (0.0000, 0.0000, 0.0000), As at (0.0424, 0.5000, 0.3921), As at (0.6733, 0.0000, 0.4367) and Cl at (0.4726, 0.5000, 0.8862).

As for the volume: 25.357 A^3/atom. The calculation puts the magnetization at 0.00 μB per cell. The value obtained for the density of states at the Fermi level is 0.9 states/eV per cell. The value obtained for the formation energy from raw total energies is -1.166 eV per atom.

The following is a DFT calculation (SCAN) of SrAs2Cl at its PBEsol-relaxed geometry.

The space group is P4/mmm (No. 123) and the conventional cell measures 3.9147, 3.9147 and 6.1162 Å, with angles of 90.00, 90.00 and 90.00 degrees. The asymmetric unit holds Sr at (0.0000, 0.0000, 0.0000), As at (0.0000, 0.5000, 0.5000) and Cl at (0.5000, 0.5000, 0.0000).

As for the volume: 23.433 A^3/atom. The calculation puts the magnetization at 0.00 μB per cell. The value obtained for the density of states at the Fermi level is 1.7 states/eV per cell. The value obtained for the formation energy from raw total energies is -1.058 eV per atom.

The following is a DFT calculation (SCAN) of SrAs2Cl at its PBEsol-relaxed geometry.

The space group is Imm2 (No. 44) and the conventional cell measures 3.8485, 5.9518 and 8.5633 Å, with angles of 90.00, 90.00 and 90.00 degrees. The asymmetric unit holds Sr at (0.0000, 0.0000, 0.0000), As at (0.0000, 0.0000, 0.4840), As at (0.0000, 0.5000, 0.8061) and Cl at (0.0000, 0.5000, 0.2534).

As for the volume: 24.518 A^3/atom. The calculation puts the magnetization at 0.00 μB per cell. The value obtained for the density of states at the Fermi level is 1.9 states/eV per cell. The value obtained for the formation energy from raw total energies is -1.042 eV per atom.

The following is a DFT calculation (SCAN) of SrAsCl4 at its PBEsol-relaxed geometry.

The space group is F-43m (No. 216) and the conventional cell measures 8.3502, 8.3502 and 8.3502 Å, with angles of 90.00, 90.00 and 90.00 degrees. The asymmetric unit holds Sr at (0.0000, 0.0000, 0.0000), As at (0.2500, 0.2500, 0.7500) and Cl at (0.1252, 0.1252, 0.3748).

As for the volume: 24.260 A^3/atom. The calculation puts the magnetization at 19.78 μB per cell. The value obtained for the density of states at the Fermi level is 19.8 states/eV per cell. The value obtained for the formation energy from raw total energies is -0.372 eV per atom.